Entry 1:
# EuYHoIn

EuYHoIn after structural relaxation (PBE, Alexandria).

## Properties
As for the total moment: 30.066 Bohr magnetons per cell. The calculated total energy is -6.1356 eV/atom. The density of states at the Fermi level comes out at 21.18 states/eV per cell. The value obtained for the formation energy is -0.12 eV per atom.

Unit cell a=7.7880 b=7.7880 c=7.7880 alpha=90.00 beta=90.00 gamma=90.00
Space group F-43m (No. 216)
Inequivalent atoms, fractional coordinates:
Eu: 0.0000 0.0000 0.0000
Y: 0.2500 0.2500 0.2500
Ho: 0.2500 0.2500 0.7500
In: 0.0000 0.0000 0.5000

***

Entry 2:
# Eu2HoIr

Eu2HoIr after structural relaxation (PBE, Alexandria).

## Properties
As for the total moment: 42.252 Bohr magnetons per cell. The calculated total energy is -8.3523 eV/atom. The density of states at the Fermi level comes out at 27.96 states/eV per cell. The value obtained for the formation energy is 0.14 eV per atom.

Unit cell a=3.7682 b=3.7682 c=31.5816 alpha=90.00 beta=90.00 gamma=120.00
Space group R-3m (No. 166, hexagonal axes)
Inequivalent atoms, fractional coordinates:
Eu: 0.0000 0.0000 0.1093
Ho: 0.0000 0.0000 0.0000
Ir: 0.0000 0.0000 0.5000

***

Entry 3:
# EuHoIr4

EuHoIr4 after structural relaxation (PBE, Alexandria).

## Properties
As for the total moment: 25.415 Bohr magnetons per cell. The calculated total energy is -9.0262 eV/atom. The density of states at the Fermi level comes out at 49.35 states/eV per cell. The value obtained for the formation energy is -0.64 eV per atom.

Unit cell a=7.6128 b=7.6128 c=7.6128 alpha=90.00 beta=90.00 gamma=90.00
Space group F-43m (No. 216)
Inequivalent atoms, fractional coordinates:
Eu: 0.0000 0.0000 0.0000
Ho: 0.2500 0.2500 0.2500
Ir: 0.1249 0.1249 0.6249

***

Entry 4:
# LiEuHoIr

LiEuHoIr after structural relaxation (PBE, Alexandria).

## Properties
As for the total moment: 28.153 Bohr magnetons per cell. The calculated total energy is -6.8023 eV/atom. The density of states at the Fermi level comes out at 9.40 states/eV per cell. The value obtained for the formation energy is -0.40 eV per atom.

Unit cell a=7.0348 b=7.0348 c=7.0348 alpha=90.00 beta=90.00 gamma=90.00
Space group F-43m (No. 216)
Inequivalent atoms, fractional coordinates:
Li: 0.0000 0.0000 0.0000
Eu: 0.2500 0.2500 0.2500
Ho: 0.2500 0.2500 0.7500
Ir: 0.0000 0.0000 0.5000

***

Entry 5:
# EuHoIrPd

EuHoIrPd after structural relaxation (PBE, Alexandria).

## Properties
As for the total moment: 27.403 Bohr magnetons per cell. The calculated total energy is -7.8984 eV/atom. The density of states at the Fermi level comes out at 49.21 states/eV per cell. The value obtained for the formation energy is -0.67 eV per atom.

Unit cell a=6.9916 b=6.9916 c=6.9916 alpha=90.00 beta=90.00 gamma=90.00
Space group F-43m (No. 216)
Inequivalent atoms, fractional coordinates:
Eu: 0.0000 0.0000 0.0000
Ho: 0.0000 0.0000 0.5000
Ir: 0.2500 0.2500 0.7500
Pd: 0.2500 0.2500 0.2500

***

Entry 6:
# EuHoIrPt

EuHoIrPt after structural relaxation (PBE, Alexandria).

## Properties
As for the total moment: 26.822 Bohr magnetons per cell. The calculated total energy is -8.2079 eV/atom. The density of states at the Fermi level comes out at 47.41 states/eV per cell. The value obtained for the formation energy is -0.77 eV per atom.

Unit cell a=6.9789 b=6.9789 c=6.9789 alpha=90.00 beta=90.00 gamma=90.00
Space group F-43m (No. 216)
Inequivalent atoms, fractional coordinates:
Eu: 0.0000 0.0000 0.0000
Ho: 0.0000 0.0000 0.5000
Ir: 0.2500 0.2500 0.2500
Pt: 0.2500 0.2500 0.7500

***

Question: Number 6 is which compound?
Answer: EuHoIrPt

***

Question: total moment of number 4 (LiEuHoIr)?
Answer: 28.153 Bohr magnetons per cell